ScTlRu2 | PBE-GGA | relaxed

Unit cell a=10.264 b=3.139 c=4.648 alpha=90.00 beta=111.43 gamma=90.00
Space group Cm (No. 8)
Inequivalent atoms, fractional coordinates:
Sc 0.000 0.000 0.000
Tl 0.276 0.500 0.357
Ru 0.026 0.500 0.503
Ru 0.241 0.000 0.835

Computed properties:
final energy: -6.8230 eV/atom